Li2La4Te3N2: relaxed, GGA-PBE.

The structure in POSCAR format:
```
Li2La4Te3N2
1.0
-3.392 3.118 -1.847
-0.669 -3.025 -3.877
-6.600 -5.863 8.892
Te N La Li
3 2 4 2
direct
0.812 0.812 0.623
0.188 0.188 0.377
0.000 0.000 0.000
0.608 0.608 0.217
0.392 0.392 0.783
0.404 0.904 0.809
0.096 0.596 0.191
0.596 0.096 0.191
0.904 0.404 0.809
0.306 0.306 0.611
0.694 0.694 0.389
```

Computed properties:
formation energy (no corrections) = -1.20 eV/atom
symmetry = I4/mmm, No. 139
mass density = 5.5 Mg/m³

=====

Li2LaTeN: relaxed, GGA-PBE.

The structure in POSCAR format:
```
Li2LaTeN
1.0
-2.301 0.657 -3.916
-2.272 -3.929 0.676
-3.369 2.357 2.375
La Te N Li
1 1 1 2
direct
0.000 0.000 0.500
0.500 0.500 0.500
0.000 0.000 0.000
0.500 0.000 0.000
0.000 0.500 0.000
```

Computed properties:
formation energy (no corrections) = -0.99 eV/atom
symmetry = P4/mmm, No. 123
mass density = 4.9 Mg/m³

=====

LiLaTeN2: relaxed, GGA-PBE.

The structure in POSCAR format:
```
LiLaTeN2
1.0
-3.085 1.154 2.910
0.125 -4.037 1.733
3.247 1.348 2.907
N Li La Te
2 1 1 1
direct
0.000 0.500 0.000
0.500 0.000 0.000
0.000 0.000 0.000
0.500 0.500 0.500
0.000 0.000 0.500
```

Computed properties:
formation energy (no corrections) = 0.60 eV/atom
symmetry = P4/mmm, No. 123
mass density = 5.7 Mg/m³

=====

LiLa2TlN: relaxed, GGA-PBE.

The structure in POSCAR format:
```
LiLa2TlN
1.0
-4.270 -0.421 -2.799
-1.519 -3.934 2.909
-2.093 2.852 2.765
La N Tl Li
2 1 1 1
direct
0.000 0.500 0.000
0.500 0.000 0.000
0.000 0.000 0.000
0.500 0.500 0.500
0.000 0.000 0.500
```

Computed properties:
formation energy (no corrections) = -0.69 eV/atom
symmetry = P4/mmm, No. 123
mass density = 7.1 Mg/m³

=====

LiLa2UN4: relaxed, GGA-PBE.

The structure in POSCAR format:
```
LiLa2UN4
1.0
3.670 0.000 0.000
0.000 5.894 0.154
0.000 -2.014 5.790
N Li La U
4 1 2 1
direct
0.500 0.697 0.776
0.000 0.268 0.779
0.500 0.303 0.224
0.000 0.732 0.221
0.000 0.000 0.000
0.500 0.000 0.500
0.000 0.500 0.500
0.500 0.500 0.000
```

Computed properties:
formation energy (no corrections) = -1.11 eV/atom
symmetry = P2/m, No. 10
mass density = 7.6 Mg/m³

=====

LiLaU2N4: relaxed, GGA-PBE.

The structure in POSCAR format:
```
LiLaU2N4
1.0
3.545 0.000 0.000
-1.773 5.679 0.000
0.000 0.000 11.274
N Li U La
8 2 4 2
direct
0.000 0.000 0.000
0.563 0.125 0.250
0.000 0.000 0.500
0.260 0.520 0.106
0.740 0.480 0.894
0.740 0.480 0.606
0.437 0.875 0.750
0.260 0.520 0.394
0.837 0.673 0.750
0.163 0.327 0.250
0.371 0.743 0.558
0.371 0.743 0.942
0.629 0.257 0.442
0.629 0.257 0.058
0.896 0.792 0.250
0.104 0.208 0.750
```

Computed properties:
formation energy (no corrections) = -1.26 eV/atom
symmetry = Cmcm, No. 63
mass density = 9.9 Mg/m³

=====

LiLaUN3: relaxed, GGA-PBE.

The structure in POSCAR format:
```
LiLaUN3
1.0
-0.738 3.064 1.599
-7.087 -1.163 -1.042
1.337 -2.957 6.284
La N Li U
2 6 2 2
direct
0.250 0.185 0.222
0.750 0.815 0.778
0.250 0.125 0.867
0.250 0.570 0.869
0.250 0.797 0.466
0.750 0.430 0.131
0.750 0.875 0.133
0.750 0.203 0.534
0.250 0.073 0.587
0.750 0.927 0.413
0.750 0.326 0.827
0.250 0.674 0.173
```

Computed properties:
formation energy (no corrections) = -1.18 eV/atom
symmetry = P2_1/m, No. 11
mass density = 8.0 Mg/m³

=====

Li2LaVN4: relaxed, GGA-PBE.

The structure in POSCAR format:
```
Li2LaVN4
1.0
-4.006 -1.473 -3.271
-4.362 -2.023 1.833
-3.094 3.476 -2.197
N Li V La
4 2 1 1
direct
0.394 0.156 0.451
0.000 0.451 0.156
0.000 0.844 0.549
0.606 0.549 0.844
0.500 0.750 0.250
0.500 0.250 0.750
0.000 0.500 0.500
0.000 0.000 0.000
```

Computed properties:
formation energy (no corrections) = -0.61 eV/atom
symmetry = I-42m, No. 121
mass density = 4.3 Mg/m³

=====

LiLaVN3: relaxed, GGA-PBE.

The structure in POSCAR format:
```
LiLaVN3
1.0
5.297 0.000 0.000
0.000 5.459 0.000
0.000 -2.730 4.955
N V La Li
6 2 2 2
direct
0.500 0.239 0.000
0.250 0.232 0.465
0.000 0.239 0.000
0.750 0.768 0.535
0.500 0.761 0.000
0.000 0.761 0.000
0.250 0.050 0.101
0.750 0.950 0.899
0.750 0.283 0.566
0.250 0.717 0.434
0.250 0.431 0.862
0.750 0.569 0.138
```

Computed properties:
formation energy (no corrections) = -1.02 eV/atom
symmetry = Cmcm, No. 63
mass density = 5.5 Mg/m³

=====

LiLa2WN: relaxed, GGA-PBE.

The structure in POSCAR format:
```
LiLa2WN
1.0
5.474 0.000 0.000
0.000 3.352 0.000
0.000 0.000 5.474
La Li N W
2 1 1 1
direct
0.500 0.000 0.000
0.000 0.000 0.500
0.000 0.000 0.000
0.000 0.500 0.000
0.500 0.500 0.500
```

Computed properties:
formation energy (no corrections) = 0.68 eV/atom
symmetry = P4/mmm, No. 123
mass density = 8.0 Mg/m³

=====

LiLaY2N: relaxed, GGA-PBE.

The structure in POSCAR format:
```
LiLaY2N
1.0
4.822 0.000 0.000
0.000 4.822 0.000
0.000 0.000 5.284
Y Li N La
2 1 1 1
direct
0.500 0.000 0.000
0.000 0.500 0.000
0.500 0.500 0.500
0.000 0.000 0.000
0.000 0.000 0.500
```

Computed properties:
formation energy (no corrections) = -0.53 eV/atom
symmetry = P4/mmm, No. 123
mass density = 4.6 Mg/m³

=====

LiLa2ZnN: relaxed, GGA-PBE.

The structure in POSCAR format:
```
LiLa2ZnN
1.0
-4.528 -1.326 -2.005
0.443 -4.663 2.082
-1.898 1.338 3.400
Li La Zn N
1 2 1 1
direct
0.000 0.000 0.500
0.000 0.500 0.000
0.500 0.000 0.000
0.500 0.500 0.500
0.000 0.000 0.000
```

Computed properties:
formation energy (no corrections) = -0.60 eV/atom
symmetry = P4/mmm, No. 123
mass density = 5.6 Mg/m³